Material: SmMgBi
Method: DFT, PBE
State: relaxed

Cell and atoms, written as POSCAR:
```
SmMgBi
1.0
0.0000 3.6333 3.6333
3.6333 0.0000 3.6333
3.6333 3.6333 0.0000
Sm Mg Bi
1 1 1
direct
0.0000 0.0000 0.0000
0.5000 0.5000 0.5000
0.7500 0.7500 0.7500
```

Electronic total energy in eV/atom: -3.591
Crystal system: cubic
Relative energy among the computed polymorphs in meV/atom: 0



Material: Rb2TlCuF6
Method: DFT, PBE
State: relaxed

Cell and atoms, written as POSCAR:
```
Rb2TlCuF6
1.0
3.0085 1.7370 4.9057
-3.0085 1.7370 4.9057
0.0000 -3.4740 4.9057
Rb Tl Cu F
2 1 1 6
direct
0.2500 0.2500 0.2500
0.7500 0.7500 0.7500
0.0000 0.0000 0.0000
0.5000 0.5000 0.5000
0.2646 0.2646 0.7346
0.2646 0.7346 0.2646
0.2654 0.7354 0.7354
0.7346 0.2646 0.2646
0.7354 0.2654 0.7354
0.7354 0.7354 0.2654
```

Electronic total energy in eV/atom: -4.015
Crystal system: trigonal
Relative energy among the computed polymorphs in meV/atom: 19



Material: AgIrF6
Method: DFT, PBE
State: relaxed

Cell and atoms, written as POSCAR:
```
AgIrF6
1.0
0.0000 3.7532 3.7532
3.7532 0.0000 3.7532
3.7532 3.7532 0.0000
Ag Ir F
1 1 6
direct
0.0000 0.0000 0.0000
0.2500 0.2500 0.2500
0.5036 0.5036 0.9964
0.5036 0.9964 0.5036
0.5036 0.9964 0.9964
0.9964 0.5036 0.5036
0.9964 0.5036 0.9964
0.9964 0.9964 0.5036
```

Electronic total energy in eV/atom: -4.147
Crystal system: cubic
Relative energy among the computed polymorphs in meV/atom: 79



Material: RbAg3PdSe4
Method: DFT, PBE
State: relaxed

Cell and atoms, written as POSCAR:
```
RbAg3PdSe4
1.0
6.4394 0.0000 0.0000
0.0000 6.4394 0.0000
0.0000 0.0000 6.4394
Rb Ag Pd Se
1 3 1 4
direct
0.0000 0.0000 0.0000
0.0000 0.5000 0.5000
0.5000 0.0000 0.5000
0.5000 0.5000 0.0000
0.5000 0.5000 0.5000
0.2800 0.2800 0.2800
0.2800 0.7200 0.7200
0.7200 0.2800 0.7200
0.7200 0.7200 0.2800
```

Electronic total energy in eV/atom: -3.325
Crystal system: cubic



Material: AlZn
Method: DFT, PBE
State: relaxed

Cell and atoms, written as POSCAR:
```
AlZn
1.0
2.8056 0.0000 0.0000
-1.4028 2.4297 0.0000
0.0000 0.0000 4.6680
Al Zn
1 1
direct
0.0000 0.0000 0.0000
0.6667 0.3333 0.5000
```

Electronic total energy in eV/atom: -2.444
Crystal system: hexagonal



Material: Ga2Mo8C3N3
Method: DFT, PBE
State: relaxed

Cell and atoms, written as POSCAR:
```
Ga2Mo8C3N3
1.0
3.1167 0.0000 0.0000
-1.5584 2.6992 0.0000
0.0000 0.0000 22.8932
Ga Mo C N
2 8 3 3
direct
0.3333 0.6667 0.2515
0.6667 0.3333 0.7485
0.0000 0.0000 0.1558
0.0000 0.0000 0.3436
0.0000 0.0000 0.6564
0.0000 0.0000 0.8442
0.3333 0.6667 0.0573
0.3333 0.6667 0.4506
0.6667 0.3333 0.5494
0.6667 0.3333 0.9427
0.0000 0.0000 0.0000
0.3333 0.6667 0.8881
0.6667 0.3333 0.1119
0.0000 0.0000 0.5000
0.3333 0.6667 0.6066
0.6667 0.3333 0.3934
```

Electronic total energy in eV/atom: -9.077
Crystal system: trigonal



Material: BeRe2B
Method: DFT, PBE
State: relaxed

Cell and atoms, written as POSCAR:
```
BeRe2B
1.0
0.0000 2.8597 2.8597
2.8597 0.0000 2.8597
2.8597 2.8597 0.0000
Be Re B
1 2 1
direct
0.0000 0.0000 0.0000
0.2500 0.2500 0.2500
0.5000 0.5000 0.5000
0.7500 0.7500 0.7500
```

Electronic total energy in eV/atom: -8.300
Crystal system: cubic



Material: NaCu2Pd2
Method: DFT, PBE
State: relaxed

Cell and atoms, written as POSCAR:
```
NaCu2Pd2
1.0
-2.0139 2.0139 5.3226
2.0139 -2.0139 5.3226
2.0139 2.0139 -5.3226
Na Cu Pd
1 2 2
direct
0.0000 0.0000 0.0000
0.3919 0.3919 0.0000
0.6081 0.6081 0.0000
0.2500 0.7500 0.5000
0.7500 0.2500 0.5000
```

Electronic total energy in eV/atom: -3.720
Crystal system: tetragonal



Material: DyHoPa
Method: DFT, PBE
State: relaxed

Cell and atoms, written as POSCAR:
```
DyHoPa
1.0
0.0000 3.7149 3.7149
3.7149 0.0000 3.7149
3.7149 3.7149 0.0000
Dy Ho Pa
1 1 1
direct
0.0000 0.0000 0.0000
0.2500 0.2500 0.2500
0.5000 0.5000 0.5000
```

Electronic total energy in eV/atom: -5.137
Crystal system: cubic
Relative energy among the computed polymorphs in meV/atom: 0
ΔH_f (0 K) in eV/atom: 1.088



Material: Na2HfPb
Method: DFT, PBE
State: relaxed

Cell and atoms, written as POSCAR:
```
Na2HfPb
1.0
4.5286 0.0000 0.0000
-2.2643 3.9219 0.0000
0.0000 0.0000 6.8693
Na Hf Pb
2 1 1
direct
0.0000 0.0000 0.0000
0.3333 0.6667 0.7344
0.6667 0.3333 0.3254
0.0000 0.0000 0.4903
```

Electronic total energy in eV/atom: -3.585
Crystal system: trigonal



Material: ZnPbSO
Method: DFT, PBE
State: relaxed

Cell and atoms, written as POSCAR:
```
ZnPbSO
1.0
1.7278 -7.8445 0.0000
1.7278 7.8445 0.0000
0.0000 0.0000 5.8306
Zn Pb S O
2 2 2 2
direct
0.1705 0.8295 0.5000
0.8295 0.1705 0.0000
0.4267 0.5733 0.5361
0.5733 0.4267 0.0361
0.1944 0.8056 0.8981
0.8056 0.1944 0.3981
0.3843 0.6157 0.9040
0.6157 0.3843 0.4040
```

Electronic total energy in eV/atom: -4.229
Crystal system: orthorhombic
Relative energy among the computed polymorphs in meV/atom: 236



Material: Tb2Sm2Ni
Method: DFT, PBE
State: relaxed

Cell and atoms, written as POSCAR:
```
Tb2Sm2Ni
1.0
5.2717 0.0000 0.0000
-2.6358 4.5654 0.0000
0.0000 0.0000 10.9378
Tb Sm Ni
4 4 2
direct
0.0000 0.0000 0.0000
0.0000 0.0000 0.5000
0.3333 0.6667 0.2500
0.6667 0.3333 0.7500
0.3333 0.6667 0.5969
0.3333 0.6667 0.9031
0.6667 0.3333 0.0969
0.6667 0.3333 0.4031
0.0000 0.0000 0.2500
0.0000 0.0000 0.7500
```

Electronic total energy in eV/atom: -4.794
Crystal system: hexagonal
ΔH_f (0 K) in eV/atom: 0.056



Material: Pr12TlNi6
Method: DFT, PBE
State: relaxed

Cell and atoms, written as POSCAR:
```
Pr12TlNi6
1.0
-5.0762 5.0762 5.0762
5.0762 -5.0762 5.0762
5.0762 5.0762 -5.0762
Pr Tl Ni
12 1 6
direct
0.1211 0.3069 0.8143
0.1857 0.4926 0.3069
0.1857 0.8789 0.6931
0.3069 0.1857 0.4926
0.3069 0.8143 0.1211
0.4926 0.3069 0.1857
0.5074 0.6931 0.8143
0.6931 0.1857 0.8789
0.6931 0.8143 0.5074
0.8143 0.1211 0.3069
0.8143 0.5074 0.6931
0.8789 0.6931 0.1857
0.0000 0.0000 0.0000
0.1208 0.5000 0.6208
0.3792 0.8792 0.5000
0.5000 0.3792 0.8792
0.5000 0.6208 0.1208
0.6208 0.1208 0.5000
0.8792 0.5000 0.3792
```

Electronic total energy in eV/atom: -5.153
Crystal system: cubic



Material: NdInSnTe3
Method: DFT, PBE
State: relaxed

Cell and atoms, written as POSCAR:
```
NdInSnTe3
1.0
2.4157 -7.4353 0.0000
2.4157 7.4353 0.0000
0.0000 0.0000 11.6580
Nd In Sn Te
2 2 2 6
direct
0.0000 0.0000 0.0000
0.0000 0.0000 0.5000
0.2438 0.7562 0.7500
0.7562 0.2438 0.2500
0.4760 0.5240 0.2500
0.5240 0.4760 0.7500
0.1042 0.8958 0.2500
0.3568 0.6432 0.0421
0.3568 0.6432 0.4579
0.6432 0.3568 0.5421
0.6432 0.3568 0.9579
0.8958 0.1042 0.7500
```

Electronic total energy in eV/atom: -4.068
Crystal system: orthorhombic



Material: AlNiBr7
Method: DFT, PBE
State: relaxed

Cell and atoms, written as POSCAR:
```
AlNiBr7
1.0
6.7263 0.0000 0.0000
0.0000 6.4169 0.0000
-3.5713 0.0000 14.1366
Al Ni Br
2 2 14
direct
0.0000 0.0023 0.0000
0.0000 0.9977 0.5000
0.2838 0.3611 0.6498
0.2838 0.6389 0.1498
0.2137 0.4297 0.2632
0.2137 0.5703 0.7632
0.3236 0.1537 0.5100
0.3236 0.8463 0.0100
0.5144 0.1709 0.7692
0.5144 0.8291 0.2692
0.5368 0.4185 0.1335
0.5368 0.5815 0.6335
0.7679 0.1454 0.3699
0.7679 0.8546 0.8699
0.9662 0.3532 0.9909
0.9662 0.6468 0.4909
0.9689 0.1512 0.6430
0.9689 0.8488 0.1430
```

Electronic total energy in eV/atom: -2.853
Crystal system: monoclinic



Material: TbAgTePbSe2
Method: DFT, PBE
State: relaxed

Cell and atoms, written as POSCAR:
```
TbAgTePbSe2
1.0
2.0932 -7.1089 0.0000
2.0932 7.1089 0.0000
0.0000 0.0000 11.2468
Tb Ag Te Pb Se
2 2 2 2 4
direct
0.0000 0.0000 0.0000
0.0000 0.0000 0.5000
0.4727 0.5273 0.7500
0.5273 0.4727 0.2500
0.1048 0.8952 0.7500
0.8952 0.1048 0.2500
0.2161 0.7839 0.2500
0.7839 0.2161 0.7500
0.3646 0.6354 0.5586
0.3646 0.6354 0.9414
0.6354 0.3646 0.0586
0.6354 0.3646 0.4414
```

Electronic total energy in eV/atom: -4.428
Crystal system: orthorhombic



Material: InAgGeSe3
Method: DFT, PBE
State: relaxed

Cell and atoms, written as POSCAR:
```
InAgGeSe3
1.0
1.9603 -7.0669 0.0000
1.9603 7.0669 0.0000
0.0000 0.0000 10.8438
In Ag Ge Se
2 2 2 6
direct
0.0000 0.0000 0.0000
0.0000 0.0000 0.5000
0.3320 0.6680 0.7500
0.6680 0.3320 0.2500
0.3241 0.6759 0.2500
0.6759 0.3241 0.7500
0.0532 0.9468 0.7500
0.3647 0.6353 0.5186
0.3647 0.6353 0.9814
0.6353 0.3647 0.0186
0.6353 0.3647 0.4814
0.9468 0.0532 0.2500
```

Electronic total energy in eV/atom: -3.700
Crystal system: orthorhombic
Relative energy among the computed polymorphs in meV/atom: 0



Material: BaNbPO
Method: DFT, PBE
State: relaxed

Cell and atoms, written as POSCAR:
```
BaNbPO
1.0
4.3038 0.0000 0.0000
0.0000 7.2307 0.0000
0.0000 0.0000 6.4163
Ba Nb P O
2 2 2 2
direct
0.0000 0.2045 0.0000
0.0000 0.7955 0.5000
0.5000 0.3926 0.5598
0.5000 0.6073 0.0598
0.0000 0.2415 0.4951
0.0000 0.7585 0.9951
0.5000 0.3828 0.8739
0.5000 0.6172 0.3739
```

Electronic total energy in eV/atom: -6.934
Crystal system: orthorhombic
Relative energy among the computed polymorphs in meV/atom: 0



Material: NaAcRe
Method: DFT, PBE
State: relaxed

Cell and atoms, written as POSCAR:
```
NaAcRe
1.0
0.0000 3.4677 3.4677
3.4677 0.0000 3.4677
3.4677 3.4677 0.0000
Na Ac Re
1 1 1
direct
0.0000 0.0000 0.0000
0.7500 0.7500 0.7500
0.2500 0.2500 0.2500
```

Electronic total energy in eV/atom: -4.389
Crystal system: cubic



Material: ZrH2Se
Method: DFT, PBE
State: relaxed

Cell and atoms, written as POSCAR:
```
ZrH2Se
1.0
1.7511 1.0110 4.6219
-1.7511 1.0110 4.6219
0.0000 -2.0220 4.6219
Zr H Se
1 2 1
direct
0.0000 0.0000 0.0000
0.3894 0.3894 0.3894
0.6888 0.6888 0.6888
0.2022 0.2022 0.2022
```

Electronic total energy in eV/atom: -5.479
Crystal system: trigonal



Material: Be2SbW
Method: DFT, PBE
State: relaxed

Cell and atoms, written as POSCAR:
```
Be2SbW
1.0
0.0000 3.1072 3.1072
3.1072 0.0000 3.1072
3.1072 3.1072 0.0000
Be Sb W
2 1 1
direct
0.0000 0.0000 0.0000
0.2500 0.2500 0.2500
0.5000 0.5000 0.5000
0.7500 0.7500 0.7500
```

Electronic total energy in eV/atom: -5.188
Crystal system: cubic



Material: TbHoBrNCl2
Method: DFT, PBE
State: relaxed

Cell and atoms, written as POSCAR:
```
TbHoBrNCl2
1.0
8.3841 -1.9187 0.0000
8.3841 1.9187 0.0000
-5.7736 0.0000 9.1268
Tb Ho Br N Cl
2 2 2 2 4
direct
0.0830 0.0830 0.4568
0.9170 0.9170 0.5432
0.3633 0.3633 0.2068
0.6367 0.6367 0.7932
0.4535 0.4535 0.7691
0.5465 0.5465 0.2309
0.0752 0.0752 0.6588
0.9248 0.9248 0.3412
0.1706 0.1706 0.0140
0.2837 0.2837 0.3835
0.7163 0.7163 0.6165
0.8294 0.8294 0.9860
```

Electronic total energy in eV/atom: -5.841
Crystal system: monoclinic
Relative energy among the computed polymorphs in meV/atom: 18



Material: K2InAgAu2
Method: DFT, PBE
State: relaxed

Cell and atoms, written as POSCAR:
```
K2InAgAu2
1.0
5.6558 0.0000 0.0000
0.0000 6.7654 0.0000
0.0000 0.0000 9.1434
K In Ag Au
4 2 2 4
direct
0.2500 0.0000 0.1291
0.2500 0.5000 0.3638
0.7500 0.0000 0.8709
0.7500 0.5000 0.6362
0.2500 0.5000 0.9268
0.7500 0.5000 0.0732
0.0000 0.0000 0.5000
0.5000 0.0000 0.5000
0.2500 0.2105 0.7202
0.2500 0.7895 0.7202
0.7500 0.2105 0.2798
0.7500 0.7895 0.2798
```

Electronic total energy in eV/atom: -2.660
Crystal system: orthorhombic



Material: HfAlTe
Method: DFT, PBE
State: relaxed

Cell and atoms, written as POSCAR:
```
HfAlTe
1.0
0.0000 3.3665 3.3665
3.3665 0.0000 3.3665
3.3665 3.3665 0.0000
Hf Al Te
1 1 1
direct
0.0000 0.0000 0.0000
0.5000 0.5000 0.5000
0.7500 0.7500 0.7500
```

Electronic total energy in eV/atom: -5.264
Crystal system: cubic
Relative energy among the computed polymorphs in meV/atom: 101